## TmAsO4 (GGA-PBE)

Data for a geometry-optimized TmAsO4 structure.

Computed properties:
- space-group type = P2/c
- VASP energy (eV for the cell shown) = -85.79

a = 4.6811 Å, b = 5.3470 Å, c = 5.3424 Å
α = 90.00°, β = 90.19°, γ = 90.00°
With the nearest neighbours (Å) after each atom.
Atoms (fractional coordinates):
O1 0.2421 0.4237 0.5763  1 As 1.73
O2 0.7583 0.9239 0.0762  1 As 1.73
Tm1 0.5000 0.2493 0.2500  8 O 2.31-2.32
O3 0.7579 0.5763 0.4237  1 As 1.73
O4 0.7583 0.0761 0.5762  1 As 1.73
O5 0.2417 0.0761 0.9238  1 As 1.73
O6 0.2421 0.5763 0.0763  1 As 1.73
Tm2 0.5000 0.7507 0.7500  8 O 2.31-2.32
O7 0.7579 0.4237 0.9237  1 As 1.73
As1 0.0000 0.7491 0.2500  4 O 1.73
As2 0.0000 0.2509 0.7500  4 O 1.73
O8 0.2417 0.9239 0.4238  1 As 1.73

## Tm3AsO6 (GGA-PBE)

Data for a geometry-optimized Tm3AsO6 structure.

Computed properties:
- space-group type = P2_1/c
- VASP energy (eV for the cell shown) = -152.66

a = 5.4168 Å, b = 5.7095 Å, c = 9.8262 Å
α = 90.00°, β = 122.14°, γ = 90.00°
With the nearest neighbours (Å) after each atom.
Atoms (fractional coordinates):
O1 0.7838 0.8062 0.0861  1 As 2.09, 2 Tm 2.18-2.20
O2 0.8950 0.1988 0.5814  1 As 2.10, 2 Tm 2.16-2.21
O3 0.2162 0.1938 0.9139  1 As 2.09, 2 Tm 2.18-2.20
Tm1 0.5000 0.0000 0.5000  6 O 2.16-2.26
Tm2 0.2167 0.9371 0.7473  5 O 2.19-2.45
Tm3 0.7833 0.0629 0.2527  5 O 2.19-2.45
O4 0.1050 0.6988 0.9186  1 As 2.10, 2 Tm 2.16-2.21
Tm4 0.7833 0.4371 0.7527  5 O 2.19-2.45
As1 0.0000 0.5000 0.5000  6 O 2.09-2.32
As2 0.0000 0.0000 0.0000  6 O 2.09-2.32
O5 0.7838 0.6938 0.5861  1 As 2.09, 2 Tm 2.18-2.20
O6 0.4074 0.5796 0.7515  3 Tm 2.19-2.28, 1 As 2.32
Tm5 0.2167 0.5629 0.2473  5 O 2.19-2.45
O7 0.5926 0.0796 0.7485  3 Tm 2.19-2.28, 1 As 2.32
O8 0.2162 0.3062 0.4139  1 As 2.09, 2 Tm 2.18-2.20
O9 0.5926 0.4204 0.2485  3 Tm 2.19-2.28, 1 As 2.32
O10 0.8950 0.3012 0.0814  1 As 2.10, 2 Tm 2.16-2.21
O11 0.1050 0.8012 0.4186  1 As 2.10, 2 Tm 2.16-2.21
Tm6 0.5000 0.5000 0.0000  6 O 2.16-2.26
O12 0.4074 0.9204 0.2515  3 Tm 2.19-2.28, 1 As 2.32

## TmAs2O (GGA-PBE)

Data for a geometry-optimized TmAs2O structure.

Computed properties:
- energy above the lowest structure with this stoichiometry (eV per formula unit) = 0.95
- space-group type = Pmc2_1
- VASP energy (eV for the cell shown) = -47.21

a = 3.5623 Å, b = 6.7406 Å, c = 8.1325 Å
α = 90.00°, β = 90.00°, γ = 90.00°
With the nearest neighbours (Å) after each atom.
Atoms (fractional coordinates):
As1 0.0000 0.7659 0.5301  2 As 2.41
O1 0.0000 0.6992 0.9151  2 Tm 2.03
As2 0.0000 0.2341 0.0301  2 As 2.41
As3 0.5000 0.7732 0.3312  2 As 2.41
O2 0.0000 0.3008 0.4151  2 Tm 2.03
Tm1 0.5000 0.8223 0.9776  2 O 2.03
As4 0.5000 0.2268 0.8312  2 As 2.41
Tm2 0.5000 0.1777 0.4776  2 O 2.03

Q: Which formula does entry 3 have?
A: TmAs2O

Q: Among the records above, which one has the lowest VASP energy?
A: Tm3AsO6

Repeat the first record exactly.
## TmAsO4 (GGA-PBE)

Data for a geometry-optimized TmAsO4 structure.

Computed properties:
- space-group type = P2/c
- VASP energy (eV for the cell shown) = -85.79

a = 4.6811 Å, b = 5.3470 Å, c = 5.3424 Å
α = 90.00°, β = 90.19°, γ = 90.00°
With the nearest neighbours (Å) after each atom.
Atoms (fractional coordinates):
O1 0.2421 0.4237 0.5763  1 As 1.73
O2 0.7583 0.9239 0.0762  1 As 1.73
Tm1 0.5000 0.2493 0.2500  8 O 2.31-2.32
O3 0.7579 0.5763 0.4237  1 As 1.73
O4 0.7583 0.0761 0.5762  1 As 1.73
O5 0.2417 0.0761 0.9238  1 As 1.73
O6 0.2421 0.5763 0.0763  1 As 1.73
Tm2 0.5000 0.7507 0.7500  8 O 2.31-2.32
O7 0.7579 0.4237 0.9237  1 As 1.73
As1 0.0000 0.7491 0.2500  4 O 1.73
As2 0.0000 0.2509 0.7500  4 O 1.73
O8 0.2417 0.9239 0.4238  1 As 1.73